A relaxed BaBe2In crystal, computed with PBE-GGA.

- Magnetization: 0.0 μB/f.u.
- ΔH_f (0 K): 204 meV/atom
- Mass density: 4.60 g cm⁻³

```
data_BaBe2In
_chemical_formula_sum 'Ba1 Be2 In1'
_space_group_name_H-M_alt 'P 1 m 1'
_space_group_IT_number 6
_space_group_name_Hall 'P -2y'
_cell_length_a 4.280
_cell_length_b 4.056
_cell_length_c 6.011
_cell_angle_alpha 90.00
_cell_angle_beta 110.69
_cell_angle_gamma 90.00
loop_
_atom_site_label
_atom_site_type_symbol
_atom_site_fract_x
_atom_site_fract_y
_atom_site_fract_z
_atom_site_occupancy
Ba1 Ba 0.000 0.000 0.000 1
Be1 Be 0.291 0.000 0.573 1
Be2 Be 0.326 0.500 0.652 1
In1 In 0.721 0.500 0.441 1
```